1.
# CsSc2Tc

Crystalline CsSc2Tc at its relaxed geometry (GGA-PBE, Alexandria).

- calculated formation energy (eV/atom) = 0.362
- total moment (μB/f.u.) = 0.00

The structure in POSCAR format:
```
CsSc2Tc
1.0
1.696 0.979 10.847
-1.696 0.979 10.847
0.000 -1.959 10.847
Cs Sc Tc
1 2 1
Direct
0.000 0.000 0.000
0.110 0.110 0.110
0.890 0.890 0.890
0.500 0.500 0.500
```

***

2.
# DyTlInAu

Crystalline DyTlInAu at its relaxed geometry (GGA-PBE, Alexandria).

- calculated formation energy (eV/atom) = -0.395
- total moment (μB/f.u.) = 0.00

The structure in POSCAR format:
```
DyTlInAu
1.0
0.000 3.624 3.624
3.624 0.000 3.624
3.624 3.624 0.000
Dy Tl In Au
1 1 1 1
Direct
0.000 0.000 0.000
0.250 0.250 0.250
0.500 0.500 0.500
0.750 0.750 0.750
```

***

3.
# Nd2MgCu

Crystalline Nd2MgCu at its relaxed geometry (GGA-PBE, Alexandria).

- calculated formation energy (eV/atom) = -0.108
- total moment (μB/f.u.) = 0.00
- energy above the lowest structure with this stoichiometry (meV/atom) = 0

The structure in POSCAR format:
```
Nd2MgCu
1.0
3.711 0.000 0.000
0.000 3.711 0.000
0.000 0.000 7.579
Nd Mg Cu
2 1 1
Direct
0.000 0.000 0.225
0.000 0.000 0.775
0.500 0.500 0.500
0.500 0.500 0.000
```

***

| no. | total DFT energy (no corrections) (eV/atom) |
| --- | --- |
| 1 | -5.61 |
| 2 | -3.64 |
| 3 | -3.91 |